The following is a DFT calculation (PBE with a Hubbard U) of a geometry-optimized MnNi6O8 structure.

```
MnNi6O8
1.0
5.9626 0.0000 -0.0052
0.0001 5.9634 0.0000
-2.9768 -2.9817 4.2191
O Ni Mn
8 6 1
direct
0.7710 0.2290 0.0001
0.7500 0.2500 0.5001
0.7710 0.7711 0.0001
0.2290 0.7710 0.9999
0.2289 0.2290 0.4580
0.7710 0.7710 0.5420
0.2500 0.7500 0.4999
0.2290 0.2289 0.9999
0.0000 0.5000 0.0000
0.5000 0.5000 0.5000
0.0000 0.5000 0.5000
0.0000 0.0000 0.5000
0.5000 0.0000 0.0000
0.5000 0.0000 0.5000
0.0000 0.0000 0.0000
```

Values from the calculation:
The total energy is -5.304 eV per atom. Its size of the total moment is 15.00 μB/f.u. Its symmetry is Fm-3m, No. 225.